(1)
Tb2YZn3: optimized geometry, GGA-PBE.

```
6
Lattice="3.585 0.000 0.000 0.000 3.585 0.000 0.000 0.000 10.743" Properties=species:S:1:pos:R:3 pbc="T T T"
Y 1.792 1.792 5.371
Tb 1.792 1.792 8.955
Tb 1.792 1.792 1.788
Zn 0.000 0.000 3.584
Zn 0.000 0.000 0.000
Zn 0.000 0.000 7.159
```

Output
The calculation puts the density of states at the Fermi level at 7.1 states/eV per cell. The total magnetization is 0.00 μB per atom. The energy relative to the elements is -343.4 meV/atom.

=====

(2)
LaCePr: optimized geometry, GGA-PBE.

```
3
Lattice="-3.392 1.047 -0.616 0.495 -0.478 -3.537 -0.910 -7.538 2.728" Properties=species:S:1:pos:R:3 pbc="T T T"
La -3.750 -6.795 -1.441
Ce -1.580 -4.862 0.437
Pr -2.283 -2.282 -1.846
```

Output
As for the polymorph energy (0 for the lowest one): 0.000 eV per atom. The calculation puts the density of states at the Fermi level at 4.7 states/eV per cell. The total magnetization is 0.00 μB per atom. The energy relative to the elements is 56.2 meV/atom.

=====

(3)
KBa2Pb: optimized geometry, GGA-PBE.

```
4
Lattice="4.737 0.000 0.000 0.000 4.181 0.021 0.000 4.131 10.762" Properties=species:S:1:pos:R:3 pbc="T T T"
Ba 0.000 4.137 9.957
Ba 0.000 4.151 6.196
Pb 2.368 6.234 8.087
K 2.368 2.078 2.696
```

Output
The calculation puts the density of states at the Fermi level at 2.8 states/eV per cell. The total magnetization is 0.00 μB per atom. The energy relative to the elements is -279.4 meV/atom.

=====

(4)
LiCa2ZnHg6: optimized geometry, GGA-PBE.

```
10
Lattice="6.348 -0.338 1.286 -0.412 8.302 -0.187 3.749 3.802 5.550" Properties=species:S:1:pos:R:3 pbc="T T T"
Ca 6.676 3.932 4.058
Ca 3.009 7.834 2.591
Hg 1.737 1.705 1.188
Hg 5.110 2.325 1.548
Hg 7.948 10.062 5.461
Hg 6.048 6.978 3.663
Hg 4.575 9.441 5.101
Hg 3.637 4.788 2.986
Zn 0.000 0.000 0.000
Li 2.968 3.982 0.549
```

Output
The calculation puts the density of states at the Fermi level at 3.3 states/eV per cell. The total magnetization is 0.00 μB per atom. The energy relative to the elements is -257.3 meV/atom.

=====

(5)
PrAlGa2Pd4: optimized geometry, GGA-PBE.

```
8
Lattice="4.343 0.000 0.000 2.172 3.761 0.000 2.172 1.254 8.717" Properties=species:S:1:pos:R:3 pbc="T T T"
Ga 6.515 3.761 6.350
Ga 2.172 1.254 2.367
Pd 2.172 1.254 5.165
Pd 4.343 2.508 1.865
Pd 4.343 2.508 6.852
Pd 6.515 3.761 3.552
Pr 0.000 0.000 0.000
Al 4.343 2.508 4.358
```

Output
The calculation puts the density of states at the Fermi level at 3.9 states/eV per cell. The total magnetization is 0.00 μB per atom. The energy relative to the elements is -769.5 meV/atom.

=====

(6)
Sr3LiPm3S8: optimized geometry, GGA-PBE.

```
15
Lattice="8.182 0.000 0.000 -4.091 7.085 -0.025 0.000 -4.699 6.866" Properties=species:S:1:pos:R:3 pbc="T T T"
S -2.058 3.567 4.952
S 4.091 2.384 1.879
S 2.058 3.567 4.952
S 6.149 -1.181 1.890
S 2.033 -1.181 1.890
S 0.000 0.001 4.963
S 0.000 2.368 1.801
S 4.091 0.018 5.040
Pm 2.045 1.193 3.421
Pm -2.045 1.193 3.421
Pm 4.091 -2.350 3.433
Li 0.000 -2.350 3.433
Sr 0.000 0.000 0.000
Sr 2.045 3.543 -0.012
Sr -2.045 3.543 -0.012
```

Output
The total magnetization is 0.00 μB per atom. Its raw formation energy is -44.86 kcal/mol of atoms.

=====

(7)
KYSc3: optimized geometry, GGA-PBE.

```
5
Lattice="-5.534 -0.527 -0.908 0.646 -5.550 -0.717 -0.828 -0.808 5.513" Properties=species:S:1:pos:R:3 pbc="T T T"
Sc -0.414 -0.404 2.756
Sc -2.767 -0.264 -0.454
Sc 0.323 -2.775 -0.358
Y 0.000 0.000 0.000
K -2.858 -3.443 1.944
```

Output
As for the polymorph energy (0 for the lowest one): 0.000 eV per atom. The calculation puts the density of states at the Fermi level at 7.4 states/eV per cell. The total magnetization is 0.00 μB per atom. The energy relative to the elements is 902.7 meV/atom.

=====

(8)
K3BaNa4: optimized geometry, GGA-PBE.

```
8
Lattice="-1.280 -3.933 -1.773 5.530 0.004 -4.002 7.030 -6.664 9.707" Properties=species:S:1:pos:R:3 pbc="T T T"
Na 3.515 -3.332 4.854
Na 0.000 0.000 0.000
Na 8.047 -5.005 5.293
Na 4.513 -1.655 0.412
Ba 2.125 -1.964 -2.887
K 4.661 -6.992 6.434
K 1.088 -3.605 1.500
K 5.640 -5.296 1.966
```

Output
The calculation puts the density of states at the Fermi level at 4.9 states/eV per cell. The total magnetization is 0.00 μB per atom. The energy relative to the elements is 22.6 meV/atom.

=====

(9)
Mn2ZnCo: optimized geometry, GGA-PBE.

```
4
Lattice="2.562 0.000 0.000 0.000 3.611 0.000 0.000 0.000 5.125" Properties=species:S:1:pos:R:3 pbc="T T T"
Mn 0.000 0.000 2.642
Mn 0.000 0.000 5.045
Zn 1.281 1.806 1.281
Co 1.281 1.806 3.844
```

Output
The calculation puts the density of states at the Fermi level at 5.6 states/eV per cell. The total magnetization is 1.06 μB per atom. The energy relative to the elements is 142.2 meV/atom.

=====

(10)
HRh3: optimized geometry, GGA-PBE.

```
4
Lattice="-0.649 -2.321 1.243 2.406 1.295 3.672 -3.907 2.119 -1.040" Properties=species:S:1:pos:R:3 pbc="T T T"
Rh -1.671 -0.661 0.851
Rh 0.678 -0.621 2.151
Rh -0.881 1.537 2.410
H 2.208 1.188 3.370
```

Output
As for the polymorph energy (0 for the lowest one): 0.000 eV per atom. The calculation puts the density of states at the Fermi level at 5.2 states/eV per cell. The total magnetization is 0.00 μB per atom.

=====

(11)
Ac5Sn5Ge2: optimized geometry, GGA-PBE.

```
12
Lattice="0.886 -4.368 1.639 3.123 -4.498 -6.794 9.590 0.531 3.109" Properties=species:S:1:pos:R:3 pbc="T T T"
Sn 10.224 -3.769 -1.813
Sn 7.059 -0.913 0.629
Sn 0.000 0.000 0.000
Sn 6.541 -7.421 -2.675
Sn 3.376 -4.565 -0.234
Ac 3.426 -5.773 -3.479
Ac 6.800 -4.167 -1.023
Ac 9.893 -6.890 -3.072
Ac 10.173 -2.561 1.433
Ac 3.707 -1.444 1.025
Ge 3.923 -2.614 -2.208
Ge 9.677 -5.720 0.162
```

Output
The calculation puts the density of states at the Fermi level at 7.4 states/eV per cell. The total magnetization is 0.00 μB per atom. The energy relative to the elements is -639.6 meV/atom.

=====

(12)
LiCaSmBi: optimized geometry, GGA-PBE.

```
4
Lattice="5.440 0.000 0.000 2.720 4.711 0.000 2.720 1.570 4.442" Properties=species:S:1:pos:R:3 pbc="T T T"
Ca 8.161 4.711 3.332
Bi 5.440 3.141 2.221
Sm 2.720 1.570 1.111
Li 0.000 0.000 0.000
```

Output
The calculation puts the density of states at the Fermi level at 3.6 states/eV per cell. The total magnetization is 0.00 μB per atom. The energy relative to the elements is -357.1 meV/atom.

=====

(13)
Pm2Zn5Pt3: optimized geometry, GGA-PBE.

```
20
Lattice="-3.184 0.233 -2.993 4.396 -2.360 -4.861 -1.738 -11.751 4.133" Properties=species:S:1:pos:R:3 pbc="T T T"
Pt 0.041 -3.690 -3.531
Pt -2.471 -11.492 -1.467
Pt -0.684 -5.875 0.270
Pt -2.441 -9.182 1.881
Pt -0.311 -7.751 -3.473
Pt 3.984 -3.480 -4.510
Zn 2.243 -2.638 -2.592
Zn -0.786 -10.184 0.042
Zn 0.298 -8.003 -0.941
Zn -2.930 -4.744 -0.452
Zn 0.270 -3.571 -0.566
Zn -0.754 -10.329 -3.202
Zn 1.940 -8.982 -2.764
Zn 1.753 -4.495 -5.415
Zn -4.166 -10.490 0.414
Zn -1.240 -5.554 -2.313
Pm 1.963 -5.796 -2.541
Pm -2.804 -7.913 -0.833
Pm -0.553 -1.019 -2.690
Pm 0.193 -12.948 -1.215
```

Output
As for the polymorph energy (0 for the lowest one): 0.000 eV per atom. The calculation puts the density of states at the Fermi level at 8.6 states/eV per cell. The total magnetization is 0.00 μB per atom. The energy relative to the elements is -694.7 meV/atom.

=====

(14)
MgSc2Pd: optimized geometry, GGA-PBE.

```
4
Lattice="-3.387 -0.289 0.030 0.289 -3.321 0.664 -0.057 1.393 6.990" Properties=species:S:1:pos:R:3 pbc="T T T"
Sc -0.044 1.086 5.453
Sc -0.013 0.306 1.537
Pd -1.549 -1.805 0.347
Mg -1.578 -1.109 3.842
```

Output
The calculation puts the density of states at the Fermi level at 4.1 states/eV per cell. The total magnetization is 0.00 μB per atom. The energy relative to the elements is -465.9 meV/atom.

=====

(15)
SrAcAs2Pt4: optimized geometry, GGA-PBE.

```
8
Lattice="4.680 0.000 0.000 0.000 4.680 0.000 0.000 0.000 8.922" Properties=species:S:1:pos:R:3 pbc="T T T"
Ac 0.000 0.000 0.000
Pt 0.000 2.340 2.126
Pt 2.340 0.000 6.796
Pt 2.340 0.000 2.126
Pt 0.000 2.340 6.796
As 2.340 2.340 2.860
As 2.340 2.340 6.063
Sr 0.000 0.000 4.461
```

Output
The calculation puts the density of states at the Fermi level at 1.2 states/eV per cell. The total magnetization is 0.00 μB per atom. The energy relative to the elements is -748.3 meV/atom.

=====

(16)
Ac2ZnAu3: optimized geometry, GGA-PBE.

```
12
Lattice="6.227 -0.418 0.000 -0.660 6.206 0.000 -2.784 -2.894 8.204" Properties=species:S:1:pos:R:3 pbc="T T T"
Au 1.141 4.474 1.422
Au 1.642 -1.580 6.782
Au 2.784 2.894 5.376
Au 4.426 1.314 1.422
Au -1.642 1.580 6.782
Au 0.000 0.000 2.828
Ac 3.114 -0.209 4.102
Ac 4.208 4.374 0.000
Ac 1.360 1.414 0.000
Ac -0.330 3.103 4.102
Zn 2.784 2.894 2.736
Zn 0.000 0.000 5.467
```

Output
The calculation puts the density of states at the Fermi level at 6.1 states/eV per cell. The total magnetization is 0.00 μB per atom. The energy relative to the elements is -765.5 meV/atom.

=====

(17)
La2TbPm4Dy2: optimized geometry, GGA-PBE.

```
9
Lattice="3.676 0.000 0.000 -1.838 9.503 -0.490 0.000 -3.768 8.984" Properties=species:S:1:pos:R:3 pbc="T T T"
Dy 0.000 0.297 5.829
Dy 1.838 5.438 2.664
La 0.000 6.347 -0.310
La 1.838 -0.612 8.804
Tb 0.000 0.000 0.000
Pm 0.000 2.275 2.824
Pm 1.838 -0.904 2.995
Pm 1.838 3.460 5.669
Pm 0.000 6.639 5.498
```

Output
The calculation puts the density of states at the Fermi level at 12.6 states/eV per cell. The total magnetization is 0.00 μB per atom. The energy relative to the elements is 5.3 meV/atom.

=====

(18)
Ac2Cu3Si2: optimized geometry, GGA-PBE.

```
7
Lattice="-2.611 -3.068 -1.516 4.067 1.531 -3.992 2.628 -4.368 4.313" Properties=species:S:1:pos:R:3 pbc="T T T"
Cu -1.306 -1.534 -0.758
Cu 3.751 -2.605 -1.189
Cu 0.333 -3.300 -0.007
Ac 1.277 -2.560 -3.129
Ac 2.806 -3.344 1.933
Si 2.533 -4.718 -0.927
Si 1.551 -1.187 -0.269
```

Output
The calculation puts the density of states at the Fermi level at 3.6 states/eV per cell. The total magnetization is 0.00 μB per atom. Its raw formation energy is -6.63 kcal/mol of atoms.

=====

(19)
Cs3Ac2BiSe6: optimized geometry, GGA-PBE.

```
12
Lattice="7.888 -0.001 0.000 -3.943 6.832 0.000 -1.316 -2.279 8.431" Properties=species:S:1:pos:R:3 pbc="T T T"
Cs 1.315 2.276 4.215
Cs -2.627 4.552 4.215
Cs 5.256 0.000 4.215
Se 2.547 0.000 1.643
Se 3.902 2.346 6.787
Se 2.672 4.626 1.646
Se -1.273 2.206 1.643
Se -0.042 -0.073 6.783
Se 0.082 4.553 6.787
Ac 3.943 2.277 0.000
Ac 0.002 4.554 0.000
Bi 0.000 0.000 0.000
```

Output
The calculation puts the density of states at the Fermi level at 0.0 states/eV per cell. The total magnetization is 0.00 μB per atom. Its raw formation energy is -33.67 kcal/mol of atoms.

=====

(20)
BaLiY2Te4: optimized geometry, GGA-PBE.

```
16
Lattice="4.529 0.000 0.000 -2.265 7.424 0.000 0.000 0.000 15.416" Properties=species:S:1:pos:R:3 pbc="T T T"
Li 0.000 2.258 3.854
Li 2.265 5.166 11.562
Y 2.265 1.875 6.807
Y 2.265 1.875 0.901
Y 0.000 5.549 14.515
Y 0.000 5.549 8.609
Te 0.000 6.602 11.562
Te 2.265 3.468 9.442
Te 2.265 0.823 3.854
Te 0.000 0.000 0.000
Te 0.000 0.000 7.708
Te 0.000 3.956 5.973
Te 2.265 3.468 13.681
Te 0.000 3.956 1.734
Ba 2.265 5.612 3.854
Ba 0.000 1.812 11.562
```

Output
The calculation puts the density of states at the Fermi level at 5.0 states/eV per cell. The total magnetization is 0.00 μB per atom. Its raw formation energy is -32.79 kcal/mol of atoms.